This record from the Open Quantum Materials Database describes a relaxed structure of Ta3Ge. The functional is PBE-GGA.

a b c (Å): 10.3101 10.3101 5.2630
angles (deg): 90.00 90.00 90.00
Closest atoms and distances in Å follow each position.
Fractional positions:
Ge  0.5280  0.2962  0.2173  9 Ta 2.62-2.89
Ge  0.4720  0.7038  0.2173  9 Ta 2.62-2.89
Ge  0.9720  0.2038  0.2827  9 Ta 2.62-2.89
Ge  0.0280  0.7962  0.2827  9 Ta 2.62-2.89
Ge  0.2038  0.0280  0.7173  9 Ta 2.62-2.89
Ge  0.7962  0.9720  0.7173  9 Ta 2.62-2.89
Ge  0.2962  0.4720  0.7827  9 Ta 2.62-2.89
Ge  0.7038  0.5280  0.7827  9 Ta 2.62-2.89
Ta  0.7876  0.3115  0.0137  3 Ge 2.62-2.89, 3 Ta 2.89-2.91
Ta  0.2124  0.6885  0.0137  3 Ge 2.62-2.89, 3 Ta 2.89-2.91
Ta  0.0851  0.4014  0.0315  2 Ge 2.64-2.69, 1 Ta 2.69
Ta  0.9149  0.5986  0.0315  2 Ge 2.64-2.69, 1 Ta 2.69
Ta  0.1494  0.0171  0.2207  4 Ge 2.62-2.71, 2 Ta 2.89-2.91
Ta  0.8506  0.9829  0.2207  4 Ge 2.62-2.71, 2 Ta 2.89-2.91
Ta  0.3506  0.4829  0.2793  4 Ge 2.62-2.71, 2 Ta 2.89-2.91
Ta  0.6494  0.5171  0.2793  4 Ge 2.62-2.71, 2 Ta 2.89-2.91
Ta  0.4149  0.0986  0.4685  2 Ge 2.64-2.69, 1 Ta 2.69
Ta  0.5851  0.9014  0.4685  2 Ge 2.64-2.69, 1 Ta 2.69
Ta  0.7124  0.1885  0.4863  3 Ge 2.62-2.89, 3 Ta 2.89-2.91
Ta  0.2876  0.8115  0.4863  3 Ge 2.62-2.89, 3 Ta 2.89-2.91
Ta  0.1885  0.2876  0.5137  3 Ge 2.62-2.89, 3 Ta 2.89-2.91
Ta  0.8115  0.7124  0.5137  3 Ge 2.62-2.89, 3 Ta 2.89-2.91
Ta  0.9014  0.4149  0.5315  2 Ge 2.64-2.69, 1 Ta 2.69
Ta  0.0986  0.5851  0.5315  2 Ge 2.64-2.69, 1 Ta 2.69
Ta  0.5171  0.3506  0.7207  4 Ge 2.62-2.71, 2 Ta 2.89-2.91
Ta  0.4829  0.6494  0.7207  4 Ge 2.62-2.71, 2 Ta 2.89-2.91
Ta  0.9829  0.1494  0.7793  4 Ge 2.62-2.71, 2 Ta 2.89-2.91
Ta  0.0171  0.8506  0.7793  4 Ge 2.62-2.71, 2 Ta 2.89-2.91
Ta  0.5986  0.0851  0.9685  2 Ge 2.64-2.69, 1 Ta 2.69
Ta  0.4014  0.9149  0.9685  2 Ge 2.64-2.69, 1 Ta 2.69
Ta  0.3115  0.2124  0.9863  3 Ge 2.62-2.89, 3 Ta 2.89-2.91
Ta  0.6885  0.7876  0.9863  3 Ge 2.62-2.89, 3 Ta 2.89-2.91

V = 17.5 Å³/atom
E_tot = -10.32 eV/atom
SG = No. 86
magnetization = 0.000 μB/atom
crystal system = tetragonal